[1]
# ScIr2Os, relaxed, DFT PBE-GGA
# DFT total energy ... -8.793 eV per atom
# Fermi-level density of states ... 1.23 states/eV/atom
# ΔE_f ... 0.03 eV per atom
# Spin magnetization ... 0.0 μB/cell
# Crystal system ... trigonal
# Energy above the lowest structure with this stoichiometry ... 1.68 eV/f.u.
data_ScIr2Os
_chemical_formula_sum 'Sc3 Ir6 Os3'
_space_group_name_H-M_alt 'R 3 m'
_space_group_IT_number 160
_space_group_name_Hall 'R 3 -2"'
_cell_length_a 2.8318
_cell_length_b 2.8318
_cell_length_c 26.9827
_cell_angle_alpha 90.00
_cell_angle_beta 90.00
_cell_angle_gamma 120.00
loop_
_atom_site_label
_atom_site_type_symbol
_atom_site_fract_x
_atom_site_fract_y
_atom_site_fract_z
Sc1 Sc 0.0000 0.0000 0.0000
Ir1 Ir 0.0000 0.0000 0.4999
Ir2 Ir 0.0000 0.0000 0.7488
Os1 Os 0.0000 0.0000 0.2455

***

[2]
# SrSbPd6, relaxed, DFT PBE-GGA
# Formation energy without anion corrections ... -165.0 meV/atom
# DFT total energy ... -4.785 eV per atom
# Fermi-level density of states ... 0.44 states/eV/atom
# Spin magnetization ... 0.0 μB/cell
# Crystal system ... trigonal
data_SrSbPd6
_chemical_formula_sum 'Sr3 Sb3 Pd18'
_space_group_name_H-M_alt 'R -3 m'
_space_group_IT_number 166
_space_group_name_Hall '-R 3 2"'
_cell_length_a 5.6556
_cell_length_b 5.6556
_cell_length_c 19.7792
_cell_angle_alpha 90.00
_cell_angle_beta 90.00
_cell_angle_gamma 120.00
loop_
_atom_site_label
_atom_site_type_symbol
_atom_site_fract_x
_atom_site_fract_y
_atom_site_fract_z
Sr1 Sr 0.0000 0.0000 0.0000
Sb1 Sb 0.0000 0.0000 0.5000
Pd1 Pd 0.0118 0.5059 0.9318

***

[3]
# BaSmThN3, relaxed, DFT PBE-GGA
# Formation energy without anion corrections ... -1086.3 meV/atom
# DFT total energy ... -7.593 eV per atom
# Fermi-level density of states ... 0.08 states/eV/atom
# Spin magnetization ... 0.0 μB/cell
# Crystal system ... monoclinic
data_BaSmThN3
_chemical_formula_sum 'Ba2 Sm2 Th2 N6'
_space_group_name_H-M_alt 'P 1 21/m 1'
_space_group_IT_number 11
_cell_length_a 7.576
_cell_length_b 3.703
_cell_length_c 10.069
_cell_angle_alpha 90.00
_cell_angle_beta 90.72
_cell_angle_gamma 90.00
loop_
_space_group_symop_operation_xyz
'x,y,z'
'-x,-y,-z'
'-x,y+1/2,-z'
'x,-y+1/2,z'
loop_
_atom_site_label
_atom_site_type_symbol
_atom_site_fract_x
_atom_site_fract_y
_atom_site_fract_z
Ba1 Ba 0.134 0.250 0.199
Sm1 Sm 0.165 0.250 0.568
Th1 Th 0.378 0.750 0.873
N1 N 0.137 0.750 0.431
N2 N 0.190 0.250 0.811
N3 N 0.402 0.750 0.097

***

[4]
# Cs4Au, relaxed, DFT PBE-GGA
# DFT total energy ... -1.482 eV per atom
# Fermi-level density of states ... 1.07 states/eV/atom
# ΔE_f ... -0.14 eV per atom
# Spin magnetization ... 0.0 μB/cell
# Crystal system ... monoclinic
# Energy above the lowest structure with this stoichiometry ... 0.00 eV/f.u.
data_Cs4Au
_chemical_formula_sum 'Cs16 Au4'
_space_group_name_H-M_alt 'C 1 2/m 1'
_space_group_IT_number 12
_cell_length_a 17.552
_cell_length_b 10.731
_cell_length_c 12.452
_cell_angle_alpha 90.00
_cell_angle_beta 133.22
_cell_angle_gamma 90.00
loop_
_space_group_symop_operation_xyz
'x,y,z'
'-x,-y,-z'
'-x,y,-z'
'x,-y,z'
'x+1/2,y+1/2,z'
'-x+1/2,-y+1/2,-z'
'-x+1/2,y+1/2,-z'
'x+1/2,-y+1/2,z'
loop_
_atom_site_label
_atom_site_type_symbol
_atom_site_fract_x
_atom_site_fract_y
_atom_site_fract_z
Cs1 Cs 0.032 0.000 0.336
Cs2 Cs 0.033 0.500 0.337
Cs3 Cs 0.219 0.250 0.185
Au1 Au 0.000 0.249 0.500

***

[5]
# Tm2FeGe4, relaxed, DFT PBE-GGA
# DFT total energy ... -5.680 eV per atom
# Fermi-level density of states ... 0.64 states/eV/atom
# ΔE_f ... -0.55 eV per atom
# Spin magnetization ... 0.9 μB/cell
# Crystal system ... orthorhombic
# Energy above the lowest structure with this stoichiometry ... 0.00 eV/f.u.
data_Tm2FeGe4
_chemical_formula_sum 'Tm4 Fe2 Ge8'
_space_group_name_H-M_alt 'A m m 2'
_space_group_IT_number 38
_cell_length_a 4.116
_cell_length_b 4.160
_cell_length_c 15.401
_cell_angle_alpha 90.00
_cell_angle_beta 90.00
_cell_angle_gamma 90.00
loop_
_space_group_symop_operation_xyz
'x,y,z'
'-x,-y,z'
'-x,y,z'
'x,-y,z'
'x,y+1/2,z+1/2'
'-x,-y+1/2,z+1/2'
'-x,y+1/2,z+1/2'
'x,-y+1/2,z+1/2'
loop_
_atom_site_label
_atom_site_type_symbol
_atom_site_fract_x
_atom_site_fract_y
_atom_site_fract_z
Tm1 Tm 0.000 0.000 0.000
Tm2 Tm 0.500 0.000 0.205
Fe1 Fe 0.000 0.000 0.796
Ge1 Ge 0.000 0.000 0.363
Ge2 Ge 0.000 0.000 0.647
Ge3 Ge 0.500 0.000 0.535
Ge4 Ge 0.500 0.000 0.862

***

[6]
# TaCoPt, relaxed, DFT PBE-GGA
# DFT total energy ... -8.748 eV per atom
# Fermi-level density of states ... 1.05 states/eV/atom
# ΔE_f ... -0.41 eV per atom
# Spin magnetization ... 0.8 μB/cell
# Crystal system ... orthorhombic
# Energy above the lowest structure with this stoichiometry ... 0.00 eV/f.u.
data_TaCoPt
_chemical_formula_sum 'Ta2 Co2 Pt2'
_space_group_name_H-M_alt 'I m m 2'
_space_group_IT_number 44
_cell_length_a 2.925
_cell_length_b 3.543
_cell_length_c 8.532
_cell_angle_alpha 90.00
_cell_angle_beta 90.00
_cell_angle_gamma 90.00
loop_
_space_group_symop_operation_xyz
'x,y,z'
'-x,-y,z'
'-x,y,z'
'x,-y,z'
'x+1/2,y+1/2,z+1/2'
'-x+1/2,-y+1/2,z+1/2'
'-x+1/2,y+1/2,z+1/2'
'x+1/2,-y+1/2,z+1/2'
loop_
_atom_site_label
_atom_site_type_symbol
_atom_site_fract_x
_atom_site_fract_y
_atom_site_fract_z
Ta1 Ta 0.000 0.000 0.000
Co1 Co 0.000 0.000 0.645
Pt1 Pt 0.000 0.000 0.320

***

[7]
# TbGaCl4, relaxed, DFT PBE-GGA
# Formation energy without anion corrections ... -1738.0 meV/atom
# DFT total energy ... -4.245 eV per atom
# Fermi-level density of states ... 0.00 states/eV/atom
# Spin magnetization ... 0.0 μB/cell
# Crystal system ... monoclinic
data_TbGaCl4
_chemical_formula_sum 'Tb2 Ga2 Cl8'
_space_group_name_H-M_alt 'C 1 2/m 1'
_space_group_IT_number 12
_cell_length_a 12.924
_cell_length_b 4.104
_cell_length_c 7.752
_cell_angle_alpha 90.00
_cell_angle_beta 100.79
_cell_angle_gamma 90.00
loop_
_space_group_symop_operation_xyz
'x,y,z'
'-x,-y,-z'
'-x,y,-z'
'x,-y,z'
'x+1/2,y+1/2,z'
'-x+1/2,-y+1/2,-z'
'-x+1/2,y+1/2,-z'
'x+1/2,-y+1/2,z'
loop_
_atom_site_label
_atom_site_type_symbol
_atom_site_fract_x
_atom_site_fract_y
_atom_site_fract_z
Tb1 Tb 0.000 0.000 0.000
Ga1 Ga 0.000 0.500 0.500
Cl1 Cl 0.109 0.000 0.321
Cl2 Cl 0.115 0.500 0.904

***

[8]
# InSF, relaxed, DFT PBE-GGA
# Formation energy without anion corrections ... -1296.2 meV/atom
# DFT total energy ... -4.209 eV per atom
# Spin magnetization ... 0.0 μB/cell
# Crystal system ... monoclinic
data_InSF
_chemical_formula_sum 'In4 S4 F4'
_space_group_name_H-M_alt 'C 1 m 1'
_space_group_IT_number 8
_cell_length_a 12.469
_cell_length_b 3.663
_cell_length_c 5.786
_cell_angle_alpha 90.00
_cell_angle_beta 110.36
_cell_angle_gamma 90.00
loop_
_space_group_symop_operation_xyz
'x,y,z'
'x,-y,z'
'x+1/2,y+1/2,z'
'x+1/2,-y+1/2,z'
loop_
_atom_site_label
_atom_site_type_symbol
_atom_site_fract_x
_atom_site_fract_y
_atom_site_fract_z
In1 In 0.000 0.000 0.000
In2 In 0.233 0.500 0.695
S1 S 0.109 0.000 0.451
S2 S 0.342 0.000 0.030
F1 F 0.090 0.500 0.927
F2 F 0.394 0.500 0.623

***

Look up the spin magnetization of the first one. 0.0 μB/cell